Record 1
{"formula": "BaLa2Te5O14", "functional": "meta-GGA SCAN", "state": "single point on PBEsol structure", "cell": [[5.989, 0.000, 0.000], [-2.995, 9.438, -0.066], [0.000, -4.073, 12.529]], "species": ["O", "O", "O", "O", "O", "O", "O", "O", "O", "O", "O", "O", "O", "O", "O", "O", "O", "O", "O", "O", "O", "O", "O", "O", "O", "O", "O", "O", "Ba", "Ba", "Te", "Te", "Te", "Te", "Te", "Te", "Te", "Te", "Te", "Te", "La", "La", "La", "La"], "fractional_positions": [[0.179, 0.702, 0.385], [0.258, 0.574, 0.171], [0.898, 0.880, 0.411], [0.018, 0.120, 0.089], [0.523, 0.702, 0.885], [0.649, 0.120, 0.206], [0.297, 0.168, 0.906], [0.529, 0.880, 0.294], [0.893, 0.327, 0.983], [0.316, 0.574, 0.671], [0.435, 0.327, 0.483], [0.102, 0.120, 0.589], [0.821, 0.298, 0.615], [0.477, 0.298, 0.115], [0.565, 0.673, 0.517], [0.471, 0.120, 0.706], [0.785, 0.597, 0.680], [0.215, 0.403, 0.320], [0.742, 0.426, 0.829], [0.982, 0.880, 0.911], [0.107, 0.673, 0.017], [0.812, 0.597, 0.180], [0.871, 0.168, 0.406], [0.684, 0.426, 0.329], [0.351, 0.880, 0.794], [0.703, 0.832, 0.094], [0.188, 0.403, 0.820], [0.129, 0.832, 0.594], [0.500, 0.500, 0.000], [0.000, 0.500, 0.500], [0.300, 0.102, 0.029], [0.793, 0.000, 0.250], [0.882, 0.279, 0.834], [0.198, 0.898, 0.471], [0.207, 0.000, 0.750], [0.603, 0.721, 0.666], [0.802, 0.102, 0.529], [0.118, 0.721, 0.166], [0.700, 0.898, 0.971], [0.397, 0.279, 0.334], [0.101, 0.649, 0.831], [0.548, 0.649, 0.331], [0.452, 0.351, 0.669], [0.899, 0.351, 0.169]], "formation_energy_uncorrected_ev_per_atom": -2.048}

Record 2
{"formula": "CsY3Sb", "functional": "meta-GGA SCAN", "state": "single point on PBEsol structure", "cell": [[5.859, 0.000, 0.000], [0.000, 5.859, 0.000], [0.000, 0.000, 5.859]], "species": ["Y", "Y", "Y", "Sb", "Cs"], "fractional_positions": [[0.000, 0.500, 0.000], [0.500, 0.000, 0.000], [0.000, 0.000, 0.500], [0.000, 0.000, 0.000], [0.500, 0.500, 0.500]], "formation_energy_uncorrected_ev_per_atom": 0.175}

Record 3
{"formula": "NaCd3Mo", "functional": "meta-GGA SCAN", "state": "single point on PBEsol structure", "cell": [[4.800, 0.000, 0.000], [0.000, 4.800, 0.000], [0.000, 0.000, 4.800]], "species": ["Na", "Cd", "Cd", "Cd", "Mo"], "fractional_positions": [[0.000, 0.000, 0.000], [0.500, 0.000, 0.000], [0.000, 0.000, 0.500], [0.000, 0.500, 0.000], [0.500, 0.500, 0.500]], "ef_mev_per_atom": 1334}